First-principles (PBE) data for a relaxed PaSbPtO6 crystal, as listed in Alexandria via LeMat-Bulk.

Cell and atoms, written as POSCAR:
```
PaSbPtO6
1.0
-0.444 -3.590 -4.071
-2.490 -0.948 4.750
-8.127 4.758 -3.311
O Pa Pt Sb
12 2 2 2
direct
0.354 0.019 0.134 O
0.981 0.335 0.134 O
0.665 0.019 0.366 O
0.646 0.981 0.866 O
0.335 0.981 0.634 O
0.665 0.646 0.134 O
0.354 0.335 0.366 O
0.019 0.354 0.634 O
0.019 0.665 0.866 O
0.335 0.354 0.866 O
0.646 0.665 0.634 O
0.981 0.646 0.366 O
0.333 0.667 0.250 Pa
0.667 0.333 0.750 Pa
0.333 0.667 0.750 Pt
0.667 0.333 0.250 Pt
0.000 0.000 0.000 Sb
0.000 0.000 0.500 Sb
```

Its symmetry is P-31c, No. 163.



First-principles (PBE) data for a relaxed PaSi2PtO8 crystal, as listed in Alexandria via LeMat-Bulk.

Cell and atoms, written as POSCAR:
```
PaSi2PtO8
1.0
5.740 0.241 0.000
-2.330 5.252 0.000
-1.705 -2.747 4.750
Si O Pt Pa
2 8 1 1
direct
0.500 0.500 0.000 Si
0.750 0.250 0.500 Si
0.403 0.093 0.310 O
0.783 0.093 0.690 O
0.859 0.677 0.182 O
0.323 0.505 0.182 O
0.907 0.597 0.690 O
0.323 0.141 0.818 O
0.907 0.217 0.310 O
0.495 0.677 0.818 O
0.250 0.750 0.500 Pt
0.000 0.000 0.000 Pa
```

Its symmetry is I-4m2, No. 119. Its density of states at the Fermi level is 4.350 states/eV/cell.



First-principles (PBE) data for a relaxed Sm2PaPtO8 crystal, as listed in Alexandria via LeMat-Bulk.

Cell and atoms, written as POSCAR:
```
Sm2PaPtO8
1.0
5.118 -0.073 -0.004
-0.056 5.121 -0.006
0.005 0.009 6.907
O Sm Pt Pa
8 2 1 1
direct
0.177 0.822 0.233 O
0.177 0.822 0.767 O
0.703 0.705 0.500 O
0.823 0.178 0.767 O
0.276 0.275 0.000 O
0.297 0.295 0.500 O
0.823 0.178 0.233 O
0.724 0.725 0.000 O
0.500 0.500 0.241 Sm
0.500 0.500 0.759 Sm
0.000 0.000 0.000 Pt
0.000 0.000 0.500 Pa
```

Its symmetry is P2/m, No. 10. Its density of states at the Fermi level is 6.931 states/eV/cell.



First-principles (PBE) data for a relaxed PaSnPtO6 crystal, as listed in Alexandria via LeMat-Bulk.

Cell and atoms, written as POSCAR:
```
PaSnPtO6
1.0
-1.972 2.329 -4.418
4.355 -3.124 -0.328
-5.635 -7.692 -1.540
Pt O Sn Pa
2 12 2 2
direct
0.333 0.667 0.750 Pt
0.667 0.333 0.250 Pt
0.322 0.988 0.627 O
0.666 0.988 0.873 O
0.334 0.322 0.373 O
0.678 0.012 0.373 O
0.666 0.678 0.627 O
0.988 0.666 0.373 O
0.334 0.012 0.127 O
0.012 0.334 0.627 O
0.678 0.666 0.127 O
0.012 0.678 0.873 O
0.322 0.334 0.873 O
0.988 0.322 0.127 O
0.000 0.000 0.500 Sn
0.000 0.000 0.000 Sn
0.667 0.333 0.750 Pa
0.333 0.667 0.250 Pa
```

Its symmetry is P-31c, No. 163. Its density of states at the Fermi level is 6.032 states/eV/cell.



First-principles (PBE) data for a relaxed SrPaPtO6 crystal, as listed in Alexandria via LeMat-Bulk.

Cell and atoms, written as POSCAR:
```
SrPaPtO6
1.0
5.556 0.000 0.000
-2.778 4.812 0.000
0.000 0.000 10.744
O Pt Pa Sr
12 2 2 2
direct
0.647 0.626 0.146 O
0.626 0.647 0.646 O
0.979 0.353 0.146 O
0.374 0.021 0.146 O
0.979 0.626 0.354 O
0.353 0.979 0.646 O
0.021 0.374 0.646 O
0.021 0.647 0.854 O
0.374 0.353 0.354 O
0.647 0.021 0.354 O
0.353 0.374 0.854 O
0.626 0.979 0.854 O
0.333 0.667 0.750 Pt
0.667 0.333 0.250 Pt
0.333 0.667 0.250 Pa
0.667 0.333 0.750 Pa
0.000 0.000 0.000 Sr
0.000 0.000 0.500 Sr
```

Its symmetry is P-31c, No. 163. Its density of states at the Fermi level is 19.133 states/eV/cell.



First-principles (PBE) data for a relaxed SrPaPt2O8 crystal, as listed in Alexandria via LeMat-Bulk.

Cell and atoms, written as POSCAR:
```
SrPaPt2O8
1.0
6.083 0.000 0.000
-3.042 5.268 0.000
0.000 0.000 7.071
O Pa Pt Sr
8 1 2 1
direct
0.847 0.693 0.299 O
0.667 0.333 0.953 O
0.153 0.307 0.701 O
0.154 0.847 0.701 O
0.333 0.667 0.047 O
0.307 0.154 0.299 O
0.846 0.153 0.299 O
0.693 0.846 0.701 O
0.000 0.000 0.500 Pa
0.333 0.667 0.788 Pt
0.667 0.333 0.212 Pt
0.000 0.000 0.000 Sr
```

Its symmetry is P-3m1, No. 164. Its density of states at the Fermi level is 5.409 states/eV/cell.



First-principles (PBE) data for a relaxed TbPaPtO6 crystal, as listed in Alexandria via LeMat-Bulk.

Cell and atoms, written as POSCAR:
```
TbPaPtO6
1.0
-0.325 5.152 -1.644
-2.757 -1.628 4.371
7.639 2.292 5.672
Tb O Pa Pt
2 12 2 2
direct
0.667 0.333 0.750 Tb
0.333 0.667 0.250 Tb
0.348 0.313 0.371 O
0.652 0.965 0.871 O
0.652 0.687 0.629 O
0.965 0.652 0.371 O
0.035 0.687 0.871 O
0.035 0.348 0.629 O
0.348 0.035 0.129 O
0.313 0.348 0.871 O
0.687 0.652 0.129 O
0.965 0.313 0.129 O
0.313 0.965 0.629 O
0.687 0.035 0.371 O
0.000 0.000 0.000 Pa
0.000 0.000 0.500 Pa
0.333 0.667 0.750 Pt
0.667 0.333 0.250 Pt
```

Its symmetry is P-31c, No. 163. Its density of states at the Fermi level is 0.000 states/eV/cell.



First-principles (PBE) data for a relaxed PaTiPtO6 crystal, as listed in Alexandria via LeMat-Bulk.

Cell and atoms, written as POSCAR:
```
PaTiPtO6
1.0
4.936 0.000 0.000
0.000 4.936 0.000
0.000 0.000 9.527
O Pt Pa Ti
12 2 2 2
direct
0.207 0.793 0.840 O
0.319 0.319 0.670 O
0.816 0.184 0.488 O
0.316 0.316 0.988 O
0.793 0.207 0.840 O
0.707 0.707 0.340 O
0.184 0.816 0.488 O
0.293 0.293 0.340 O
0.181 0.819 0.170 O
0.684 0.684 0.988 O
0.819 0.181 0.170 O
0.681 0.681 0.670 O
0.500 0.500 0.499 Pt
0.000 0.000 0.999 Pt
0.500 0.500 0.170 Pa
0.000 0.000 0.670 Pa
0.000 0.000 0.336 Ti
0.500 0.500 0.836 Ti
```

Its symmetry is P4_2nm, No. 102. Its density of states at the Fermi level is 4.815 states/eV/cell.



First-principles (PBE) data for a relaxed PaTl2PtO4 crystal, as listed in Alexandria via LeMat-Bulk.

Cell and atoms, written as POSCAR:
```
PaTl2PtO4
1.0
-2.182 1.910 -5.129
-2.307 -5.123 1.772
-1.273 3.518 4.551
O Tl Pt Pa
4 2 1 1
direct
0.819 0.559 0.151 O
0.407 0.849 0.668 O
0.593 0.261 0.441 O
0.181 0.332 0.739 O
0.500 0.750 0.250 Tl
0.000 0.000 0.000 Tl
0.000 0.500 0.500 Pt
0.500 0.250 0.750 Pa
```

Its symmetry is I-4, No. 82. Its density of states at the Fermi level is 3.177 states/eV/cell.



First-principles (PBE) data for a relaxed PaTl2Pt2O6 crystal, as listed in Alexandria via LeMat-Bulk.

Cell and atoms, written as POSCAR:
```
PaTl2Pt2O6
1.0
6.393 0.000 0.000
3.196 5.536 0.000
3.196 1.845 5.837
Tl O Pt Pa
2 6 2 1
direct
0.779 0.779 0.663 Tl
0.221 0.221 0.337 Tl
0.232 0.762 0.774 O
0.768 0.768 0.226 O
0.762 0.232 0.774 O
0.238 0.768 0.226 O
0.232 0.232 0.774 O
0.768 0.238 0.226 O
0.408 0.408 0.777 Pt
0.592 0.592 0.223 Pt
0.000 0.000 0.000 Pa
```

Its symmetry is R-3m, No. 166. Its density of states at the Fermi level is 8.572 states/eV/cell.



First-principles (PBE) data for a relaxed PaTl2PtO6 crystal, as listed in Alexandria via LeMat-Bulk.

Cell and atoms, written as POSCAR:
```
PaTl2PtO6
1.0
6.077 0.000 0.000
3.038 5.263 0.000
3.038 1.754 10.136
O Pa Pt Tl
12 2 2 4
direct
0.804 0.804 0.110 O
0.843 0.390 0.377 O
0.718 0.196 0.890 O
0.196 0.718 0.890 O
0.282 0.804 0.110 O
0.157 0.610 0.623 O
0.390 0.843 0.377 O
0.804 0.282 0.110 O
0.610 0.157 0.623 O
0.390 0.390 0.377 O
0.196 0.196 0.890 O
0.610 0.610 0.623 O
0.595 0.595 0.215 Pa
0.405 0.405 0.785 Pa
0.500 0.500 0.500 Pt
0.000 0.000 0.000 Pt
0.145 0.145 0.564 Tl
0.283 0.283 0.151 Tl
0.717 0.717 0.849 Tl
0.855 0.855 0.436 Tl
```

Its symmetry is R-3m, No. 166. Its density of states at the Fermi level is 8.194 states/eV/cell.



First-principles (PBE) data for a relaxed Pa3TlPt4O12 crystal, as listed in Alexandria via LeMat-Bulk.

Cell and atoms, written as POSCAR:
```
Pa3TlPt4O12
1.0
7.668 -0.281 -0.391
-2.120 7.374 -0.391
-2.120 -2.711 6.869
O Pa Pt Tl
12 3 4 1
direct
0.249 0.342 0.966 O
0.966 0.249 0.342 O
0.500 0.126 0.874 O
0.126 0.874 0.500 O
0.336 0.664 0.500 O
0.500 0.336 0.664 O
0.342 0.966 0.249 O
0.664 0.500 0.336 O
0.874 0.500 0.126 O
0.751 0.034 0.658 O
0.658 0.751 0.034 O
0.034 0.658 0.751 O
0.563 0.437 0.000 Pa
0.000 0.563 0.437 Pa
0.437 0.000 0.563 Pa
0.500 0.500 0.500 Pt
0.143 0.500 0.857 Pt
0.500 0.857 0.143 Pt
0.857 0.143 0.500 Pt
0.000 0.000 0.000 Tl
```

Its symmetry is R32, No. 155. Its density of states at the Fermi level is 12.518 states/eV/cell.



First-principles (PBE) data for a relaxed Pa3Tl2PtO12 crystal, as listed in Alexandria via LeMat-Bulk.

Cell and atoms, written as POSCAR:
```
Pa3Tl2PtO12
1.0
7.855 -0.058 -0.041
3.829 6.859 -0.041
3.829 2.229 6.487
Tl Pa O Pt
2 3 12 1
direct
0.600 0.600 0.600 Tl
0.400 0.400 0.400 Tl
0.000 0.000 0.500 Pa
0.000 0.500 0.000 Pa
0.500 0.000 0.000 Pa
0.058 0.711 0.058 O
0.323 0.323 0.930 O
0.070 0.677 0.677 O
0.323 0.930 0.323 O
0.677 0.070 0.677 O
0.289 0.942 0.942 O
0.942 0.289 0.942 O
0.942 0.942 0.289 O
0.930 0.323 0.323 O
0.677 0.677 0.070 O
0.711 0.058 0.058 O
0.058 0.058 0.711 O
0.000 0.000 0.000 Pt
```

Its symmetry is R-3m, No. 166. Its density of states at the Fermi level is 9.398 states/eV/cell.



First-principles (PBE) data for a relaxed PaTlPtO6 crystal, as listed in Alexandria via LeMat-Bulk.

Cell and atoms, written as POSCAR:
```
PaTlPtO6
1.0
5.467 0.000 0.000
-2.734 4.735 0.000
0.000 0.000 9.864
O Pa Pt Tl
12 2 2 2
direct
0.641 0.981 0.866 O
0.359 0.019 0.134 O
0.019 0.359 0.634 O
0.981 0.641 0.366 O
0.660 0.019 0.366 O
0.641 0.660 0.634 O
0.981 0.340 0.134 O
0.359 0.340 0.366 O
0.340 0.981 0.634 O
0.340 0.359 0.866 O
0.019 0.660 0.866 O
0.660 0.641 0.134 O
0.333 0.667 0.250 Pa
0.667 0.333 0.750 Pa
0.333 0.667 0.750 Pt
0.667 0.333 0.250 Pt
0.000 0.000 0.000 Tl
0.000 0.000 0.500 Tl
```

Its symmetry is P-31c, No. 163.



First-principles (PBE) data for a relaxed PaTlPtO4 crystal, as listed in Alexandria via LeMat-Bulk.

Cell and atoms, written as POSCAR:
```
PaTlPtO4
1.0
6.085 0.000 0.000
-3.043 6.872 0.114
0.000 -3.609 5.935
O Pa Pt Tl
8 2 2 2
direct
0.310 0.620 0.381 O
0.265 0.948 0.224 O
0.317 0.052 0.776 O
0.683 0.948 0.224 O
0.310 0.620 0.739 O
0.690 0.380 0.619 O
0.690 0.380 0.261 O
0.735 0.052 0.776 O
0.500 0.000 0.500 Pa
0.500 0.000 0.000 Pa
0.500 0.500 0.500 Pt
0.000 0.500 0.500 Pt
0.816 0.631 0.066 Tl
0.184 0.369 0.934 Tl
```

Its symmetry is Imma, No. 74.



First-principles (PBE) data for a relaxed TmPaPtO6 crystal, as listed in Alexandria via LeMat-Bulk.

Cell and atoms, written as POSCAR:
```
TmPaPtO6
1.0
5.364 0.000 0.000
-2.682 4.645 0.000
0.000 0.000 9.784
O Pa Tm Pt
12 2 2 2
direct
0.027 0.347 0.630 O
0.973 0.320 0.130 O
0.347 0.320 0.370 O
0.027 0.680 0.870 O
0.320 0.973 0.630 O
0.680 0.653 0.130 O
0.347 0.027 0.130 O
0.680 0.027 0.370 O
0.320 0.347 0.870 O
0.653 0.680 0.630 O
0.653 0.973 0.870 O
0.973 0.653 0.370 O
0.000 0.000 0.000 Pa
0.000 0.000 0.500 Pa
0.333 0.667 0.250 Tm
0.667 0.333 0.750 Tm
0.333 0.667 0.750 Pt
0.667 0.333 0.250 Pt
```

Its symmetry is P-31c, No. 163. Its density of states at the Fermi level is 0.000 states/eV/cell.



First-principles (PBE) data for a relaxed YPaPt2O8 crystal, as listed in Alexandria via LeMat-Bulk.

Cell and atoms, written as POSCAR:
```
YPaPt2O8
1.0
-2.734 -3.354 4.291
5.538 1.611 1.967
-3.311 4.990 -1.126
O Pt Pa Y
8 2 1 1
direct
0.962 0.640 0.678 O
0.888 0.717 0.170 O
0.283 0.453 0.170 O
0.962 0.284 0.322 O
0.547 0.717 0.830 O
0.360 0.038 0.322 O
0.716 0.038 0.678 O
0.283 0.112 0.830 O
0.750 0.250 0.500 Pt
0.500 0.500 0.000 Pt
0.000 0.000 0.000 Pa
0.250 0.750 0.500 Y
```

Its symmetry is I-4m2, No. 119. Its density of states at the Fermi level is 0.169 states/eV/cell.



First-principles (PBE) data for a relaxed PaZnPtO6 crystal, as listed in Alexandria via LeMat-Bulk.

Cell and atoms, written as POSCAR:
```
PaZnPtO6
1.0
-4.067 1.836 -3.056
3.964 -2.917 -2.242
-4.627 -7.539 1.627
Zn O Pt Pa
2 12 2 2
direct
0.000 0.000 0.500 Zn
0.000 0.000 0.000 Zn
0.978 0.328 0.127 O
0.650 0.978 0.873 O
0.350 0.328 0.373 O
0.328 0.978 0.627 O
0.650 0.672 0.627 O
0.672 0.650 0.127 O
0.350 0.022 0.127 O
0.978 0.650 0.373 O
0.022 0.672 0.873 O
0.022 0.350 0.627 O
0.328 0.350 0.873 O
0.672 0.022 0.373 O
0.667 0.333 0.250 Pt
0.333 0.667 0.750 Pt
0.333 0.667 0.250 Pa
0.667 0.333 0.750 Pa
```

Its symmetry is P-31c, No. 163. Its density of states at the Fermi level is 15.684 states/eV/cell.



Number 1: VASP energy -7.307 eV per atom, raw formation energy -1.8173 eV/atom, total magnetic moment 0.000 μB/atom. Number 2: VASP energy -7.685 eV per atom, raw formation energy -2.1805 eV/atom, total magnetic moment 0.096 μB/atom. Number 3: VASP energy -7.908 eV per atom, raw formation energy -2.5218 eV/atom, total magnetic moment 0.078 μB/atom. Number 4: VASP energy -7.339 eV per atom, raw formation energy -1.8625 eV/atom, total magnetic moment 0.000 μB/atom. Number 5: VASP energy -7.433 eV per atom, raw formation energy -2.2145 eV/atom, total magnetic moment 0.016 μB/atom. Number 6: VASP energy -6.494 eV per atom, raw formation energy -1.2500 eV/atom, total magnetic moment 0.253 μB/atom. Number 7: VASP energy -8.053 eV per atom, raw formation energy -2.5068 eV/atom, total magnetic moment 0.000 μB/atom. Number 8: VASP energy -8.297 eV per atom, raw formation energy -2.3881 eV/atom, total magnetic moment 0.000 μB/atom. Number 9: VASP energy -6.417 eV per atom, raw formation energy -1.4040 eV/atom, total magnetic moment 0.000 μB/atom. Number 10: VASP energy -6.259 eV per atom, raw formation energy -1.1632 eV/atom, total magnetic moment 0.119 μB/atom. Number 11: VASP energy -6.541 eV per atom, raw formation energy -1.5387 eV/atom, total magnetic moment 0.000 μB/atom. Number 12: VASP energy -7.467 eV per atom, raw formation energy -1.7407 eV/atom, total magnetic moment 0.330 μB/atom. Number 13: VASP energy -7.642 eV per atom, raw formation energy -2.1552 eV/atom, total magnetic moment 0.174 μB/atom. Number 14: VASP energy -6.964 eV per atom, raw formation energy -1.6693 eV/atom, total magnetic moment 0.000 μB/atom. Number 15: VASP energy -7.289 eV per atom, raw formation energy -1.8981 eV/atom, total magnetic moment 0.000 μB/atom. Number 16: VASP energy -8.074 eV per atom, raw formation energy -2.5449 eV/atom, total magnetic moment 0.000 μB/atom. Number 17: VASP energy -7.382 eV per atom, raw formation energy -1.7399 eV/atom, total magnetic moment 0.000 μB/atom. Number 18: VASP energy -6.890 eV per atom, raw formation energy -1.7168 eV/atom, total magnetic moment 0.000 μB/atom.